Record 1
# PmCd6Ag4 | Alexandria | PBE | relaxed
# Uncorrected energy   -2.062 eV/atom
# E above lowest polymorph   0.000 eV/atom
# Calculated density   8.473 g cm⁻³
# Fermi-level density of states   0.532 states/eV/atom
# Formation enthalpy at 0 K   -0.095 eV/atom
data_PmCd6Ag4
_chemical_formula_sum 'Pm1 Cd6 Ag4'
_cell_length_a 8.0268
_cell_length_b 8.0268
_cell_length_c 4.3940
_cell_angle_alpha 90.00
_cell_angle_beta 90.00
_cell_angle_gamma 120.00
_space_group_name_H-M_alt 'P -6 m 2'
_space_group_IT_number 187
_space_group_name_Hall 'P -6 2'
loop_
_atom_site_label
_atom_site_fract_x
_atom_site_fract_y
_atom_site_fract_z
_atom_site_occupancy
Pm1 0.0000 0.0000 0.0000 1
Cd1 0.1984 0.3968 0.5000 1
Cd2 0.5347 0.0694 0.0000 1
Ag1 0.3333 0.6667 0.0000 1
Ag2 0.4006 0.2003 0.5000 1


Record 2
# PmCd6Ag2 | Alexandria | PBE | relaxed
# Uncorrected energy   -1.852 eV/atom
# E above lowest polymorph   0.040 eV/atom
# Calculated density   8.447 g cm⁻³
# Fermi-level density of states   0.499 states/eV/atom
# Formation enthalpy at 0 K   -0.081 eV/atom
data_PmCd6Ag2
_chemical_formula_sum 'Pm2 Cd12 Ag4'
_cell_length_a 15.192
_cell_length_b 8.654
_cell_length_c 3.154
_cell_angle_alpha 90.00
_cell_angle_beta 100.98
_cell_angle_gamma 90.00
_space_group_name_H-M_alt 'C 1 2/m 1'
_space_group_IT_number 12
loop_
_space_group_symop_operation_xyz
'x,y,z'
'-x,-y,-z'
'-x,y,-z'
'x,-y,z'
'x+1/2,y+1/2,z'
'-x+1/2,-y+1/2,-z'
'-x+1/2,y+1/2,-z'
'x+1/2,-y+1/2,z'
loop_
_atom_site_label
_atom_site_fract_x
_atom_site_fract_y
_atom_site_fract_z
_atom_site_occupancy
Pm1 0.000 0.000 0.000 1
Cd1 0.000 0.335 0.500 1
Cd2 0.175 0.175 0.672 1
Ag1 0.148 0.500 0.138 1


Record 3
# Pm2Cd3Ag | Alexandria | PBE | relaxed
# Uncorrected energy   -2.842 eV/atom
# Calculated density   8.167 g cm⁻³
# Fermi-level density of states   0.749 states/eV/atom
# Formation enthalpy at 0 K   -0.325 eV/atom
data_Pm2Cd3Ag
_chemical_formula_sum 'Pm2 Cd3 Ag1'
_cell_length_a 3.422
_cell_length_b 5.019
_cell_length_c 8.701
_cell_angle_alpha 90.00
_cell_angle_beta 90.00
_cell_angle_gamma 90.00
_space_group_name_H-M_alt 'P m m 2'
_space_group_IT_number 25
loop_
_space_group_symop_operation_xyz
'x,y,z'
'-x,-y,z'
'-x,y,z'
'x,-y,z'
loop_
_atom_site_label
_atom_site_fract_x
_atom_site_fract_y
_atom_site_fract_z
_atom_site_occupancy
Pm1 0.000 0.000 0.000 1
Pm2 0.000 0.500 0.483 1
Cd1 0.500 0.000 0.656 1
Cd2 0.500 0.500 0.159 1
Cd3 0.500 0.500 0.823 1
Ag1 0.500 0.000 0.325 1


Record 4
# Pm3Cd8Ag | Alexandria | PBE | relaxed
# Uncorrected energy   -2.255 eV/atom
# Calculated density   8.165 g cm⁻³
# Fermi-level density of states   0.471 states/eV/atom
# Formation enthalpy at 0 K   -0.220 eV/atom
data_Pm3Cd8Ag
_chemical_formula_sum 'Pm9 Cd24 Ag3'
_cell_length_a 5.9120
_cell_length_b 5.9120
_cell_length_c 29.0693
_cell_angle_alpha 90.00
_cell_angle_beta 90.00
_cell_angle_gamma 120.00
_space_group_name_H-M_alt 'R 3 m'
_space_group_IT_number 160
_space_group_name_Hall 'R 3 -2"'
loop_
_atom_site_label
_atom_site_fract_x
_atom_site_fract_y
_atom_site_fract_z
_atom_site_occupancy
Pm1 0.0000 0.0000 0.0000 1
Pm2 0.0000 0.0000 0.1260 1
Pm3 0.0000 0.0000 0.5108 1
Cd1 0.0000 0.0000 0.3156 1
Cd2 0.0000 0.0000 0.8159 1
Cd3 0.0006 0.5003 0.0655 1
Cd4 0.0011 0.5006 0.5663 1
Ag1 0.0000 0.0000 0.6316 1